## LaSc2 (GGA-PBE)

Data for a relaxed LaSc2 crystal.

## Properties
**V**: 28.30 A^3/atom
**Total energy**: -34.60 eV/cell
**Space group**: No. 38
**Total moment**: 0.00 μB/f.u.
**Offset from the most stable computed form**: 3.50 kJ per mole of atoms
**Formation energy from the elements**: 97 meV per atom

a b c (Å): 3.462 9.158 5.453
angles (deg): 90.00 90.00 100.90
Positions (direct):
La: 0.998 0.996 0.000
La: 0.669 0.338 0.000
Sc: 0.332 0.665 0.000
Sc: 0.552 0.105 0.500
Sc: 0.229 0.458 0.500
Sc: 0.886 0.772 0.500

---

## Y2ScHgB (GGA-PBE)

Data for a relaxed Y2ScHgB crystal.

## Properties
**V**: 23.95 A^3/atom
**Total energy**: -27.36 eV/cell
**Space group**: No. 123
**Total moment**: 0.00 μB/f.u.
**Formation energy from the elements**: -225 meV per atom

a b c (Å): 5.093 5.093 4.617
angles (deg): 90.00 90.00 90.00
Positions (direct):
Y: 0.000 0.500 0.000
Y: 0.500 0.000 0.000
Sc: 0.000 0.000 0.500
B: 0.000 0.000 0.000
Hg: 0.500 0.500 0.500

---

## SrY2Sc (GGA-PBE)

Data for a relaxed SrY2Sc crystal.

## Properties
**V**: 34.49 A^3/atom
**Total energy**: -20.12 eV/cell
**Space group**: No. 25
**Total moment**: 0.01 μB/f.u.
**Offset from the most stable computed form**: 9.24 kJ per mole of atoms
**Formation energy from the elements**: 205 meV per atom

a b c (Å): 4.763 3.671 8.702
angles (deg): 65.04 90.00 90.00
Positions (direct):
Sc: 0.000 0.541 0.459
Sr: 0.500 0.760 0.740
Y: 0.000 0.960 0.040
Y: 0.500 0.239 0.261

---

## LaCo2BAs (GGA-PBE)

Data for a relaxed LaCo2BAs crystal.

## Properties
**V**: 24.49 A^3/atom
**Total energy**: -19.57 eV/cell
**Space group**: No. 123
**Total moment**: 2.01 μB/f.u.
**Formation energy from the elements**: 2180 meV per atom

a b c (Å): 4.604 5.777 4.604
angles (deg): 90.00 90.00 90.00
Positions (direct):
As: 0.000 0.500 0.000
B: 0.500 0.500 0.500
Co: 0.000 0.000 0.500
Co: 0.500 0.000 0.000
La: 0.000 0.000 0.000

---

## CuSnIr (GGA-PBE)

Data for a relaxed CuSnIr crystal.

## Properties
**V**: 16.09 A^3/atom
**Total energy**: -16.82 eV/cell
**Space group**: No. 107
**Total moment**: 0.01 μB/f.u.
**Offset from the most stable computed form**: 5.77 kJ per mole of atoms
**Formation energy from the elements**: 47 meV per atom

a b c (Å): 3.395 3.395 4.828
angles (deg): 110.59 110.59 90.00
Positions (direct):
Ir: 0.280 0.280 0.561
Sn: 0.951 0.951 0.901
Cu: 0.619 0.619 0.238

---

## ZnCoRhS2 (GGA-PBE)

Data for a relaxed ZnCoRhS2 crystal.

## Properties
**V**: 19.04 A^3/atom
**Total energy**: -18.41 eV/cell
**Space group**: No. 123
**Total moment**: 3.41 μB/f.u.
**Energy relative to the elements, uncorrected**: 1.115 eV/atom

a b c (Å): 4.509 4.683 4.509
angles (deg): 90.00 90.00 90.00
Positions (direct):
Co: 0.500 0.500 0.500
Zn: 0.000 0.000 0.000
Rh: 0.000 0.500 0.000
S: 0.000 0.000 0.500
S: 0.500 0.000 0.000

---

## MnNi2GeC (GGA-PBE)

Data for a relaxed MnNi2GeC crystal.

## Properties
**V**: 10.85 A^3/atom
**Total energy**: -34.35 eV/cell
**Space group**: No. 123
**Total moment**: 0.00 μB/f.u.
**Formation energy from the elements**: 44 meV per atom

a b c (Å): 3.781 3.781 3.794
angles (deg): 90.00 90.00 90.00
Positions (direct):
Ni: 0.000 0.500 0.000
Ni: 0.500 0.000 0.000
Ge: 0.500 0.500 0.500
Mn: 0.000 0.000 0.500
C: 0.000 0.000 0.000

---

## K4Dy3BiO8 (GGA-PBE)

Data for a relaxed K4Dy3BiO8 crystal.

## Properties
**V**: 16.81 A^3/atom
**Total energy**: -100.32 eV/cell
**Space group**: No. 166
**Total moment**: 0.00 μB/f.u.
**Energy relative to the elements, uncorrected**: -2.411 eV/atom

a b c (Å): 7.036 7.473 7.036
angles (deg): 118.09 120.00 90.00
Positions (direct):
K: 0.500 0.000 0.000
K: 0.500 0.000 0.500
K: 0.000 0.000 0.000
K: 0.000 0.000 0.500
Dy: 0.500 0.500 0.000
Dy: 0.500 0.500 0.500
Dy: 0.000 0.500 0.500
Bi: 0.000 0.500 0.000
O: 0.236 0.691 0.954
O: 0.236 0.691 0.473
O: 0.272 0.316 0.544
O: 0.718 0.691 0.954
O: 0.282 0.309 0.046
O: 0.728 0.684 0.456
O: 0.764 0.309 0.527
O: 0.764 0.309 0.046

---

## PrSm3Tl2 (GGA-PBE)

Data for a relaxed PrSm3Tl2 crystal.

## Properties
**V**: 31.04 A^3/atom
**Total energy**: -50.60 eV/cell
**Space group**: No. 26
**Total moment**: 0.00 μB/f.u.
**Offset from the most stable computed form**: 0.00 kJ per mole of atoms
**Formation energy from the elements**: -272 meV per atom

a b c (Å): 5.239 6.914 10.283
angles (deg): 90.00 90.00 90.00
Positions (direct):
Pr: 0.500 0.551 0.544
Pr: 0.500 0.051 0.456
Sm: 0.000 0.452 0.956
Sm: 0.000 0.952 0.044
Sm: 0.500 0.676 0.183
Sm: 0.500 0.176 0.817
Sm: 0.000 0.323 0.313
Sm: 0.000 0.823 0.687
Tl: 0.500 0.708 0.866
Tl: 0.500 0.208 0.134
Tl: 0.000 0.290 0.638
Tl: 0.000 0.790 0.362

---

## CoCuPb2 (GGA-PBE)

Data for a relaxed CoCuPb2 crystal.

## Properties
**V**: 20.36 A^3/atom
**Total energy**: -16.60 eV/cell
**Space group**: No. 12
**Total moment**: 1.14 μB/f.u.
**Offset from the most stable computed form**: 19.25 kJ per mole of atoms
**Formation energy from the elements**: 505 meV per atom

a b c (Å): 4.481 4.481 5.896
angles (deg): 77.30 77.30 45.07
Positions (direct):
Co: 0.250 0.250 0.250
Cu: 0.750 0.750 0.750
Pb: 0.994 0.994 0.011
Pb: 0.506 0.506 0.489

---

## SmPaGePd (GGA-PBE)

Data for a relaxed SmPaGePd crystal.

## Properties
**V**: 23.05 A^3/atom
**Total energy**: -25.66 eV/cell
**Space group**: No. 216
**Total moment**: 2.01 μB/f.u.
**Formation energy from the elements**: -408 meV per atom

a b c (Å): 5.071 5.071 5.071
angles (deg): 60.00 60.00 60.00
Positions (direct):
Ge: 0.750 0.750 0.750
Pa: 0.000 0.000 0.000
Pd: 0.250 0.250 0.250
Sm: 0.500 0.500 0.500

---

## Al2CdGa8 (GGA-PBE)

Data for a relaxed Al2CdGa8 crystal.

## Properties
**V**: 19.35 A^3/atom
**Total energy**: -32.16 eV/cell
**Space group**: No. 123
**Total moment**: 0.00 μB/f.u.
**Formation energy from the elements**: 41 meV per atom

a b c (Å): 4.063 4.063 12.897
angles (deg): 90.00 90.00 90.00
Positions (direct):
Al: 0.000 0.000 0.333
Al: 0.000 0.000 0.667
Cd: 0.000 0.000 0.000
Ga: 0.000 0.500 0.500
Ga: 0.500 0.000 0.500
Ga: 0.500 0.500 0.329
Ga: 0.500 0.500 0.671
Ga: 0.000 0.500 0.166
Ga: 0.500 0.000 0.166
Ga: 0.000 0.500 0.834
Ga: 0.500 0.000 0.834

---

## YIn2TeRh (GGA-PBE)

Data for a relaxed YIn2TeRh crystal.

## Properties
**V**: 27.96 A^3/atom
**Total energy**: -25.16 eV/cell
**Space group**: No. 123
**Total moment**: 0.00 μB/f.u.
**Energy relative to the elements, uncorrected**: -0.544 eV/atom

a b c (Å): 5.140 5.140 5.290
angles (deg): 90.00 90.00 90.00
Positions (direct):
Y: 0.000 0.000 0.500
Te: 0.500 0.500 0.500
Rh: 0.000 0.000 0.000
In: 0.000 0.500 0.000
In: 0.500 0.000 0.000

---

## Y3Al2Pd (GGA-PBE)

Data for a relaxed Y3Al2Pd crystal.

## Properties
**V**: 22.95 A^3/atom
**Total energy**: -35.48 eV/cell
**Space group**: No. 123
**Total moment**: 0.00 μB/f.u.
**Formation energy from the elements**: -568 meV per atom

a b c (Å): 3.591 3.591 10.678
angles (deg): 90.00 90.00 90.00
Positions (direct):
Y: 0.000 0.000 0.000
Y: 0.000 0.000 0.659
Y: 0.000 0.000 0.341
Al: 0.500 0.500 0.830
Al: 0.500 0.500 0.170
Pd: 0.500 0.500 0.500

---

## Ac2TcBr (GGA-PBE)

Data for a relaxed Ac2TcBr crystal.

## Properties
**V**: 29.72 A^3/atom
**Total energy**: -22.18 eV/cell
**Space group**: No. 123
**Total moment**: 0.00 μB/f.u.
**Energy relative to the elements, uncorrected**: -0.481 eV/atom

a b c (Å): 3.705 3.705 8.660
angles (deg): 90.00 90.00 90.00
Positions (direct):
Ac: 0.000 0.000 0.792
Ac: 0.000 0.000 0.208
Tc: 0.500 0.500 0.000
Br: 0.500 0.500 0.500

---

## Ca2MnSb3Pt4 (GGA-PBE)

Data for a relaxed Ca2MnSb3Pt4 crystal.

## Properties
**V**: 21.96 A^3/atom
**Total energy**: -56.46 eV/cell
**Space group**: No. 115
**Total moment**: 4.26 μB/f.u.
**Energy relative to the elements, uncorrected**: -0.675 eV/atom

a b c (Å): 4.475 4.475 10.963
angles (deg): 90.00 90.00 90.00
Positions (direct):
Ca: 0.500 0.000 0.245
Ca: 0.000 0.500 0.755
Mn: 0.500 0.500 0.500
Sb: 0.000 0.000 0.500
Sb: 0.500 0.000 0.866
Sb: 0.000 0.500 0.134
Pt: 0.500 0.500 0.000
Pt: 0.000 0.000 0.000
Pt: 0.500 0.000 0.631
Pt: 0.000 0.500 0.369

---

## K2Rb4CdPb2 (GGA-PBE)

Data for a relaxed K2Rb4CdPb2 crystal.

## Properties
**V**: 51.52 A^3/atom
**Total energy**: -14.83 eV/cell
**Space group**: No. 12
**Total moment**: 0.00 μB/f.u.
**Formation energy from the elements**: -48 meV per atom

a b c (Å): 7.138 9.128 9.128
angles (deg): 54.55 75.06 75.06
Positions (direct):
K: 0.243 0.645 0.645
K: 0.757 0.355 0.355
Rb: 0.230 0.639 0.104
Rb: 0.770 0.896 0.361
Rb: 0.770 0.361 0.896
Rb: 0.230 0.104 0.639
Cd: 0.500 0.000 0.000
Pb: 0.233 0.172 0.172
Pb: 0.767 0.828 0.828

---

## Zr2Sc (GGA-PBE)

Data for a relaxed Zr2Sc crystal.

## Properties
**V**: 23.49 A^3/atom
**Total energy**: -46.99 eV/cell
**Space group**: No. 12
**Total moment**: 0.00 μB/f.u.
**Formation energy from the elements**: -22 meV per atom

a b c (Å): 3.236 6.104 7.613
angles (deg): 76.97 90.00 105.37
Positions (direct):
Sc: 0.389 0.779 0.721
Sc: 0.333 0.666 0.335
Zr: 0.000 0.000 0.000
Zr: 0.663 0.325 0.670
Zr: 0.060 0.119 0.386
Zr: 0.722 0.444 0.056

---

## YHf (GGA-PBE)

Data for a relaxed YHf crystal.

## Properties
**V**: 37.32 A^3/atom
**Total energy**: -25.97 eV/cell
**Space group**: No. 194
**Total moment**: 0.79 μB/f.u.
**Formation energy from the elements**: 1715 meV per atom

a b c (Å): 5.418 5.418 5.872
angles (deg): 90.00 90.00 120.00
Positions (direct):
Y: 0.333 0.667 0.250
Y: 0.667 0.333 0.750
Hf: 0.333 0.667 0.750
Hf: 0.667 0.333 0.250

---

## CaHfTi2Pd (GGA-PBE)

Data for a relaxed CaHfTi2Pd crystal.

## Properties
**V**: 25.96 A^3/atom
**Total energy**: -27.20 eV/cell
**Space group**: No. 123
**Total moment**: 0.00 μB/f.u.
**Formation energy from the elements**: 1147 meV per atom

a b c (Å): 4.787 5.663 4.787
angles (deg): 90.00 90.00 90.00
Positions (direct):
Ca: 0.000 0.500 0.000
Hf: 0.000 0.000 0.000
Pd: 0.500 0.500 0.500
Ti: 0.000 0.000 0.500
Ti: 0.500 0.000 0.000

---

## Th2Pa2Ni15 (GGA-PBE)

Data for a relaxed Th2Pa2Ni15 crystal.

## Properties
**V**: 14.26 A^3/atom
**Total energy**: -126.94 eV/cell
**Space group**: No. 166
**Total moment**: 0.00 μB/f.u.
**Formation energy from the elements**: -336 meV per atom

a b c (Å): 6.545 6.545 6.545
angles (deg): 80.93 80.93 80.93
Positions (direct):
Th: 0.359 0.359 0.359
Th: 0.641 0.641 0.641
Pa: 0.108 0.108 0.108
Pa: 0.892 0.892 0.892
Ni: 0.500 0.000 0.000
Ni: 0.000 0.000 0.500
Ni: 0.000 0.500 0.000
Ni: 0.000 0.689 0.311
Ni: 0.689 0.311 0.000
Ni: 0.311 0.000 0.689
Ni: 0.311 0.689 0.000
Ni: 0.689 0.000 0.311
Ni: 0.000 0.311 0.689
Ni: 0.162 0.656 0.656
Ni: 0.656 0.656 0.162
Ni: 0.656 0.162 0.656
Ni: 0.838 0.344 0.344
Ni: 0.344 0.344 0.838
Ni: 0.344 0.838 0.344

---

## DyGa2Ag (GGA-PBE)

Data for a relaxed DyGa2Ag crystal.

## Properties
**V**: 19.89 A^3/atom
**Total energy**: -14.94 eV/cell
**Space group**: No. 225
**Total moment**: 0.00 μB/f.u.
**Formation energy from the elements**: -359 meV per atom

a b c (Å): 4.828 4.828 4.828
angles (deg): 60.00 60.00 60.00
Positions (direct):
Ga: 0.250 0.250 0.250
Ga: 0.750 0.750 0.750
Ag: 0.500 0.500 0.500
Dy: 0.000 0.000 0.000

---

## Cs2IrI6Br (GGA-PBE)

Data for a relaxed Cs2IrI6Br crystal.

## Properties
**V**: 44.77 A^3/atom
**Total energy**: -27.55 eV/cell
**Space group**: No. 139
**Total moment**: 0.68 μB/f.u.
**Energy relative to the elements, uncorrected**: -0.601 eV/atom

a b c (Å): 8.858 8.858 8.473
angles (deg): 58.48 58.48 90.00
Positions (direct):
Cs: 0.750 0.250 0.500
Cs: 0.250 0.750 0.500
I: 0.245 0.245 0.510
I: 0.755 0.755 0.490
I: 0.214 0.214 0.000
I: 0.786 0.786 0.000
I: 0.786 0.214 0.000
I: 0.214 0.786 0.000
Ir: 0.000 0.000 0.000
Br: 0.500 0.500 0.000